Below is a relaxed structure of HoSc5Tl2, with properties calculated at the PBE-GGA level.

Results
**Space group**: Immm (71)
**Polymorph energy (0 for the lowest one)**: 55 meV per atom

abc: 7.915 7.915 7.915
angles: 154.77 104.41 81.17
Fractional positions:
Ho  0.000  0.000  0.000
Sc  0.145  0.370  0.776
Sc  0.406  0.630  0.776
Sc  0.500  0.000  0.500
Sc  0.594  0.370  0.224
Sc  0.855  0.630  0.224
Tl  0.242  0.742  0.500
Tl  0.758  0.258  0.500